[1]
This record from Alexandria via LeMat-Bulk describes Ta2P at its PBEsol-relaxed geometry. The functional is meta-GGA SCAN.

Cell: 4.621 4.621 2.725 Å, 90.00 90.00 120.00°
Atoms (fractional coordinates):
Ta: 0.333 0.667 0.000
Ta: 0.667 0.333 0.000
P: 0.000 0.000 0.500

DFT formation energy	638	meV per atom
electronic total energy	-47.217	eV/atom
calculated density	12.9	Mg/m³
total magnetic moment	0.0	μB per formula unit
space-group type	P6/mmm


[2]
This record from Alexandria via LeMat-Bulk describes Bi3OsSe at its PBEsol-relaxed geometry. The functional is meta-GGA SCAN.

Cell: 5.305 5.305 5.305 Å, 90.00 90.00 90.00°
Atoms (fractional coordinates):
Bi: 0.000 0.000 0.500
Bi: 0.000 0.500 0.000
Bi: 0.500 0.000 0.000
Os: 0.500 0.500 0.500
Se: 0.000 0.000 0.000

electronic total energy	-63.765	eV/atom
calculated density	10.0	Mg/m³
total magnetic moment	1.9	μB per formula unit
formation energy (no corrections)	1.775	eV/atom
space-group type	Pm-3m


[3]
This record from Alexandria via LeMat-Bulk describes Li3AgCl at its PBEsol-relaxed geometry. The functional is meta-GGA SCAN.

Cell: 4.547 4.547 4.547 Å, 90.00 90.00 90.00°
Atoms (fractional coordinates):
Li: 0.000 0.000 0.500
Li: 0.000 0.500 0.000
Li: 0.500 0.000 0.000
Ag: 0.500 0.500 0.500
Cl: 0.000 0.000 0.000

electronic total energy	-9.911	eV/atom
calculated density	2.9	Mg/m³
total magnetic moment	0.0	μB per formula unit
formation energy (no corrections)	-0.608	eV/atom
space-group type	Pm-3m


[4]
This record from Alexandria via LeMat-Bulk describes H2PbI at its PBEsol-relaxed geometry. The functional is meta-GGA SCAN.

Cell: 4.603 4.603 4.603 Å, 60.00 60.00 60.00°
Atoms (fractional coordinates):
H: 0.250 0.250 0.250
H: 0.750 0.750 0.750
Pb: 0.000 0.000 0.000
I: 0.500 0.500 0.500

electronic total energy	-29.072	eV/atom
calculated density	8.1	Mg/m³
total magnetic moment	0.0	μB per formula unit
space-group type	Fm-3m


[5]
This record from Alexandria via LeMat-Bulk describes KCoN at its PBEsol-relaxed geometry. The functional is meta-GGA SCAN.

Cell: 9.618 3.440 6.485 Å, 90.00 90.00 90.00°
Atoms (fractional coordinates):
K: 0.177 0.250 0.046
K: 0.323 0.750 0.546
K: 0.677 0.250 0.454
K: 0.823 0.750 0.954
Co: 0.026 0.250 0.611
Co: 0.474 0.750 0.111
Co: 0.526 0.250 0.889
Co: 0.974 0.750 0.389
N: 0.040 0.750 0.666
N: 0.460 0.250 0.166
N: 0.540 0.750 0.834
N: 0.960 0.250 0.334

electronic total energy	-11.690	eV/atom
calculated density	3.5	Mg/m³
total magnetic moment	0.5	μB per formula unit
formation energy (no corrections)	-0.048	eV/atom
space-group type	Pnma


[6]
This record from Alexandria via LeMat-Bulk describes MgNbO3 at its PBEsol-relaxed geometry. The functional is meta-GGA SCAN.

Cell: 3.676 3.676 3.676 Å, 90.00 90.00 90.00°
Atoms (fractional coordinates):
Mg: 0.000 0.000 0.000
Nb: 0.500 0.500 0.500
O: 0.000 0.000 0.500
O: 0.000 0.500 0.000
O: 0.500 0.000 0.000

electronic total energy	-12.899	eV/atom
calculated density	5.5	Mg/m³
total magnetic moment	1.0	μB per formula unit
formation energy (no corrections)	-1.540	eV/atom
space-group type	Pm-3m


[7]
This record from Alexandria via LeMat-Bulk describes MgRh at its PBEsol-relaxed geometry. The functional is meta-GGA SCAN.

Cell: 5.126 5.126 4.590 Å, 110.81 110.81 32.65°
Atoms (fractional coordinates):
Mg: 0.110 0.110 0.305
Mg: 0.890 0.890 0.695
Rh: 0.360 0.360 0.185
Rh: 0.640 0.640 0.815

DFT formation energy	-488	meV per atom
electronic total energy	-19.861	eV/atom
calculated density	7.0	Mg/m³
total magnetic moment	0.0	μB per formula unit
space-group type	C2/m


[8]
This record from Alexandria via LeMat-Bulk describes ZnCoPHO5 at its PBEsol-relaxed geometry. The functional is meta-GGA SCAN.

Cell: 5.210 5.442 7.480 Å, 94.21 100.41 93.14°
Atoms (fractional coordinates):
Zn: 0.125 0.205 0.135
Zn: 0.875 0.795 0.865
Co: 0.500 0.000 0.500
Co: 0.500 0.500 0.500
P: 0.059 0.301 0.720
P: 0.941 0.699 0.280
H: 0.388 0.729 0.769
H: 0.612 0.271 0.231
O: 0.094 0.112 0.869
O: 0.127 0.564 0.818
O: 0.230 0.725 0.378
O: 0.246 0.250 0.586
O: 0.458 0.228 0.288
O: 0.542 0.772 0.712
O: 0.754 0.750 0.414
O: 0.770 0.275 0.622
O: 0.873 0.436 0.182
O: 0.906 0.888 0.131

electronic total energy	-10.267	eV/atom
calculated density	3.8	Mg/m³
total magnetic moment	3.0	μB per formula unit
space-group type	P-1


[9]
This record from Alexandria via LeMat-Bulk describes BeCu2Si at its PBEsol-relaxed geometry. The functional is meta-GGA SCAN.

Cell: 4.258 4.258 4.175 Å, 100.04 100.04 35.93°
Atoms (fractional coordinates):
Be: 0.000 0.000 0.000
Cu: 0.255 0.255 0.787
Cu: 0.497 0.497 0.500
Si: 0.747 0.747 0.270

electronic total energy	-11.166	eV/atom
calculated density	6.2	Mg/m³
total magnetic moment	0.0	μB per formula unit
formation energy (no corrections)	0.026	eV/atom
space-group type	Cm


[10]
This record from Alexandria via LeMat-Bulk describes BeNiF2 at its PBEsol-relaxed geometry. The functional is meta-GGA SCAN.

Cell: 8.498 8.498 8.498 Å, 16.75 16.75 16.75°
Atoms (fractional coordinates):
Be: 0.000 0.000 0.000
Ni: 0.500 0.500 0.500
F: 0.370 0.370 0.370
F: 0.630 0.630 0.630

electronic total energy	-8.880	eV/atom
calculated density	3.9	Mg/m³
total magnetic moment	1.0	μB per formula unit
formation energy (no corrections)	-1.978	eV/atom
space-group type	R-3m


[11]
This record from Alexandria via LeMat-Bulk describes ZrAs4Pb at its PBEsol-relaxed geometry. The functional is meta-GGA SCAN.

Cell: 5.560 5.560 5.560 Å, 60.00 60.00 60.00°
Atoms (fractional coordinates):
Zr: 0.000 0.000 0.000
As: 0.374 0.374 0.374
As: 0.374 0.374 0.879
As: 0.374 0.879 0.374
As: 0.879 0.374 0.374
Pb: 0.750 0.750 0.750

DFT formation energy	127	meV per atom
electronic total energy	-31.080	eV/atom
calculated density	8.2	Mg/m³
total magnetic moment	0.0	μB per formula unit
space-group type	F-43m


[12]
This record from Alexandria via LeMat-Bulk describes Lu2InNi2 at its PBEsol-relaxed geometry. The functional is meta-GGA SCAN.

Cell: 7.190 7.190 3.462 Å, 90.00 90.00 148.89°
Atoms (fractional coordinates):
Lu: 0.140 0.860 0.000
Lu: 0.860 0.140 0.000
In: 0.500 0.500 0.500
Ni: 0.302 0.698 0.500
Ni: 0.698 0.302 0.500

DFT formation energy	-628	meV per atom
electronic total energy	-35.912	eV/atom
calculated density	10.5	Mg/m³
total magnetic moment	0.0	μB per formula unit
space-group type	Cmmm


Q: The highest total magnetic moment belongs to which entry?
A: ZnCoPHO5


Q: Which formula does entry 8 have?
A: ZnCoPHO5


Q: The highest electronic total energy belongs to which entry?
A: BeNiF2


Q: What is the formula in the eleventh record?
A: ZrAs4Pb